PmNd2Sm4Tm: optimized geometry, PBE.

Cell and atoms, written as CIF:
```
data_PmNd2Sm4Tm
_cell_length_a 7.257
_cell_length_b 7.265
_cell_length_c 10.228
_cell_angle_alpha 90.00
_cell_angle_beta 90.00
_cell_angle_gamma 90.00
_symmetry_space_group_name_H-M 'P 1'
_symmetry_Int_Tables_number 1
loop_
_symmetry_equiv_pos_as_xyz
'x,y,z'
loop_
_atom_site_label
_atom_site_type_symbol
_atom_site_fract_x
_atom_site_fract_y
_atom_site_fract_z
_atom_site_occupancy
Pm1 Pm 0.000 0.000 0.000 1
Pm2 Pm 0.500 0.000 0.500 1
Nd1 Nd 0.000 0.000 0.500 1
Nd2 Nd 0.000 0.500 0.000 1
Nd3 Nd 0.000 0.500 0.500 1
Nd4 Nd 0.500 0.500 0.500 1
Sm1 Sm 0.253 0.249 0.247 1
Sm2 Sm 0.253 0.249 0.753 1
Sm3 Sm 0.253 0.751 0.247 1
Sm4 Sm 0.253 0.751 0.753 1
Sm5 Sm 0.747 0.249 0.247 1
Sm6 Sm 0.747 0.249 0.753 1
Sm7 Sm 0.747 0.751 0.247 1
Sm8 Sm 0.747 0.751 0.753 1
Tm1 Tm 0.500 0.000 0.000 1
Tm2 Tm 0.500 0.500 0.000 1
```

Pm2Nd3Sm6Tm: optimized geometry, PBE.

Cell and atoms, written as CIF:
```
data_Pm2Nd3Sm6Tm
_cell_length_a 6.293
_cell_length_b 6.293
_cell_length_c 12.060
_cell_angle_alpha 95.00
_cell_angle_beta 95.00
_cell_angle_gamma 119.99
_symmetry_space_group_name_H-M 'P 1'
_symmetry_Int_Tables_number 1
loop_
_symmetry_equiv_pos_as_xyz
'x,y,z'
loop_
_atom_site_label
_atom_site_type_symbol
_atom_site_fract_x
_atom_site_fract_y
_atom_site_fract_z
_atom_site_occupancy
Pm1 Pm 0.167 0.833 0.000 1
Pm2 Pm 0.833 0.167 0.000 1
Nd1 Nd 0.000 0.000 0.500 1
Nd2 Nd 0.333 0.667 0.500 1
Nd3 Nd 0.667 0.333 0.500 1
Sm1 Sm 0.085 0.418 0.752 1
Sm2 Sm 0.250 0.250 0.248 1
Sm3 Sm 0.418 0.085 0.752 1
Sm4 Sm 0.582 0.915 0.248 1
Sm5 Sm 0.750 0.750 0.752 1
Sm6 Sm 0.915 0.582 0.248 1
Tm1 Tm 0.500 0.500 0.000 1
```

Pm6Nd2SmTm: optimized geometry, PBE.

Cell and atoms, written as CIF:
```
data_Pm6Nd2SmTm
_cell_length_a 8.950
_cell_length_b 8.950
_cell_length_c 9.822
_cell_angle_alpha 94.26
_cell_angle_beta 94.26
_cell_angle_gamma 117.99
_symmetry_space_group_name_H-M 'P 1'
_symmetry_Int_Tables_number 1
loop_
_symmetry_equiv_pos_as_xyz
'x,y,z'
loop_
_atom_site_label
_atom_site_type_symbol
_atom_site_fract_x
_atom_site_fract_y
_atom_site_fract_z
_atom_site_occupancy
Pm1 Pm 0.015 0.572 0.189 1
Pm2 Pm 0.123 0.750 0.555 1
Pm3 Pm 0.250 0.877 0.945 1
Pm4 Pm 0.293 0.504 0.381 1
Pm5 Pm 0.428 0.985 0.311 1
Pm6 Pm 0.496 0.707 0.119 1
Pm7 Pm 0.504 0.293 0.881 1
Pm8 Pm 0.572 0.015 0.689 1
Pm9 Pm 0.707 0.496 0.619 1
Pm10 Pm 0.750 0.123 0.055 1
Pm11 Pm 0.877 0.250 0.445 1
Pm12 Pm 0.985 0.428 0.811 1
Nd1 Nd 0.198 0.298 0.043 1
Nd2 Nd 0.298 0.198 0.543 1
Nd3 Nd 0.702 0.802 0.457 1
Nd4 Nd 0.802 0.702 0.957 1
Sm1 Sm 0.020 0.980 0.250 1
Sm2 Sm 0.980 0.020 0.750 1
Tm1 Tm 0.409 0.591 0.750 1
Tm2 Tm 0.591 0.409 0.250 1
```

Pm2Nd4Sm2Tm: optimized geometry, PBE.

Cell and atoms, written as CIF:
```
data_Pm2Nd4Sm2Tm
_cell_length_a 8.145
_cell_length_b 8.145
_cell_length_c 8.128
_cell_angle_alpha 107.62
_cell_angle_beta 107.62
_cell_angle_gamma 36.89
_symmetry_space_group_name_H-M 'P 1'
_symmetry_Int_Tables_number 1
loop_
_symmetry_equiv_pos_as_xyz
'x,y,z'
loop_
_atom_site_label
_atom_site_type_symbol
_atom_site_fract_x
_atom_site_fract_y
_atom_site_fract_z
_atom_site_occupancy
Pm1 Pm 0.166 0.166 0.000 1
Pm2 Pm 0.834 0.834 0.000 1
Nd1 Nd 0.055 0.055 0.332 1
Nd2 Nd 0.278 0.278 0.668 1
Nd3 Nd 0.722 0.722 0.332 1
Nd4 Nd 0.945 0.945 0.668 1
Sm1 Sm 0.389 0.389 0.331 1
Sm2 Sm 0.611 0.611 0.669 1
Tm1 Tm 0.500 0.500 0.000 1
```

Pm2NdSm6Tm3: optimized geometry, PBE.

Cell and atoms, written as CIF:
```
data_Pm2NdSm6Tm3
_cell_length_a 6.245
_cell_length_b 6.245
_cell_length_c 11.902
_cell_angle_alpha 95.01
_cell_angle_beta 95.01
_cell_angle_gamma 120.00
_symmetry_space_group_name_H-M 'P 1'
_symmetry_Int_Tables_number 1
loop_
_symmetry_equiv_pos_as_xyz
'x,y,z'
loop_
_atom_site_label
_atom_site_type_symbol
_atom_site_fract_x
_atom_site_fract_y
_atom_site_fract_z
_atom_site_occupancy
Pm1 Pm 0.167 0.833 0.000 1
Pm2 Pm 0.833 0.167 0.000 1
Nd1 Nd 0.500 0.500 0.000 1
Sm1 Sm 0.081 0.415 0.745 1
Sm2 Sm 0.252 0.252 0.255 1
Sm3 Sm 0.415 0.081 0.745 1
Sm4 Sm 0.585 0.919 0.255 1
Sm5 Sm 0.748 0.748 0.745 1
Sm6 Sm 0.919 0.585 0.255 1
Tm1 Tm 0.000 0.000 0.500 1
Tm2 Tm 0.333 0.667 0.500 1
Tm3 Tm 0.667 0.333 0.500 1
```

PmNd2Sm5Tm: optimized geometry, PBE.

Cell and atoms, written as CIF:
```
data_PmNd2Sm5Tm
_cell_length_a 10.116
_cell_length_b 10.116
_cell_length_c 10.116
_cell_angle_alpha 128.60
_cell_angle_beta 128.60
_cell_angle_gamma 75.65
_symmetry_space_group_name_H-M 'P 1'
_symmetry_Int_Tables_number 1
loop_
_symmetry_equiv_pos_as_xyz
'x,y,z'
loop_
_atom_site_label
_atom_site_type_symbol
_atom_site_fract_x
_atom_site_fract_y
_atom_site_fract_z
_atom_site_occupancy
Pm1 Pm 0.250 0.250 0.000 1
Pm2 Pm 0.750 0.750 0.000 1
Nd1 Nd 0.118 0.618 0.737 1
Nd2 Nd 0.382 0.118 0.500 1
Nd3 Nd 0.618 0.882 0.500 1
Nd4 Nd 0.882 0.382 0.263 1
Sm1 Sm 0.000 0.000 0.000 1
Sm2 Sm 0.072 0.148 0.500 1
Sm3 Sm 0.148 0.648 0.076 1
Sm4 Sm 0.352 0.428 0.500 1
Sm5 Sm 0.428 0.928 0.076 1
Sm6 Sm 0.500 0.500 0.000 1
Sm7 Sm 0.572 0.072 0.924 1
Sm8 Sm 0.648 0.572 0.500 1
Sm9 Sm 0.852 0.352 0.924 1
Sm10 Sm 0.928 0.852 0.500 1
Tm1 Tm 0.250 0.750 0.500 1
Tm2 Tm 0.750 0.250 0.500 1
```

| no. | total moment (μB per formula unit) | formation energy (eV per atom) | total DFT energy (no corrections) (eV per atom) |
| --- | --- | --- | --- |
| 1 | 0.0 | 0.0139 | -4.6904 |
| 2 | 0.0 | 0.0146 | -4.7014 |
| 3 | 0.0 | 0.1134 | -4.6096 |
| 4 | 0.0 | 0.0154 | -4.7049 |
| 5 | 0.0 | 0.0187 | -4.6478 |
| 6 | 0.0 | 0.2747 | -4.4313 |